SrCa2AgS at its PBEsol-relaxed geometry, computed with meta-GGA SCAN.

Summary:
For the uncorrected formation energy, the calculation gives -0.257 eV per atom. The value obtained for the density of states at the Fermi level is 3.11 states/eV per cell. Its space group is P4/mmm, No. 123. The calculation puts the magnetic moment at 0.0 μB/f.u.

Geometry as POSCAR:
```
SrCa2AgS
1.0
-2.919 4.451 1.273
-4.575 -3.004 0.010
0.760 -1.138 5.723
S Ag Ca Sr
1 1 2 1
direct
0.500 0.500 0.500
0.000 0.000 0.000
0.000 0.500 0.000
0.500 0.000 0.000
0.000 0.000 0.500
```